Below is crystalline LiCo2O4 at its relaxed geometry, with properties calculated at the PBEsol level.

The calculation puts the energy above the most stable polymorph in this dataset at 41 meV per atom. The calculation puts the uncorrected formation energy at -9.16 eV/f.u. Its volume is 66.0 Å³/f.u.

It has space group Pbcn (No. 60), with a = 5.5834 Å, b = 4.7957 Å, c = 9.8550 Å, α = 90.00°, β = 90.00° and γ = 90.00°. Symmetry generates all atoms from Li at (0.0000, 0.1574, 0.2500), Co at (0.1252, 0.2545, 0.5039), O at (0.1236, 0.4081, 0.1000) and O at (0.1255, 0.0771, 0.9047).